DFT (PBE) results for a relaxed BaLi2Zr crystal.

Cell: 5.6596 5.6596 6.3548 Å, 83.10 83.10 34.09°
Closest atoms and distances in Å follow each position.
Element x y z (fractional)
Ba 0.2500 0.2500 0.2500  2 Ba 3.32, 6 Li 3.46-3.63, 4 Zr 3.58
Li 0.0096 0.0096 0.9388  2 Li 2.95, 3 Zr 3.19
Li 0.4904 0.4904 0.5612  2 Li 2.95, 3 Zr 3.19
Zr 0.7500 0.7500 0.7500  6 Li 3.19, 2 Zr 3.32

Output
The calculation puts the magnetization at 0.09 μB/atom. The calculation puts the energy of formation at 0.4670 eV per atom.

DFT (PBE) results for a relaxed Ba2LiZr crystal.

Cell: 5.9063 5.9063 5.9063 Å, 60.00 60.00 60.00°
Closest atoms and distances in Å follow each position.
Element x y z (fractional)
Ba 0.0000 0.0000 0.0000  4 Zr 3.62, 4 Ba 3.62
Ba 0.2500 0.2500 0.2500  4 Ba 3.62, 4 Li 3.62
Li 0.5000 0.5000 0.5000  4 Ba 3.62, 4 Zr 3.62
Zr 0.7500 0.7500 0.7500  4 Ba 3.62, 4 Li 3.62

Output
The calculation puts the magnetization at 0.62 μB/atom. The calculation puts the energy of formation at 0.6321 eV per atom.

DFT (PBE) results for a relaxed BaLiZr crystal.

Cell: 7.0272 7.0270 3.6691 Å, 74.87 74.86 30.27°
Closest atoms and distances in Å follow each position.
Element x y z (fractional)
Ba 0.9913 0.9913 0.0087  4 Li 3.51, 4 Ba 3.67, 5 Zr 3.75-3.82
Li 0.3101 0.3101 0.6899  4 Zr 2.98
Zr 0.6986 0.6986 0.3014  4 Li 2.98

Output
The calculation puts the magnetization at 0.00 μB/atom. The calculation puts the energy of formation at 0.5193 eV per atom.

DFT (PBE) results for a relaxed BaLi2Zr crystal.

Cell: 6.1346 6.1346 6.1346 Å, 135.53 135.53 64.70°
Closest atoms and distances in Å follow each position.
Element x y z (fractional)
Ba 0.7500 0.2500 0.5000  8 Li 3.28-3.48, 4 Zr 3.48
Li 0.0000 0.0000 0.0000  4 Zr 3.28, 4 Ba 3.48, 4 Li 3.48
Li 0.2500 0.7500 0.5000  4 Ba 3.28, 4 Li 3.48, 4 Zr 3.48
Zr 0.5000 0.5000 0.0000  8 Li 3.28-3.48, 4 Ba 3.48

Output
The calculation puts the magnetization at 0.50 μB/atom. The calculation puts the energy of formation at 0.5896 eV per atom.

DFT (PBE) results for a relaxed Ba2LiZr2 crystal.

Cell: 4.0767 4.0767 11.8980 Å, 80.14 80.14 90.00°
Closest atoms and distances in Å follow each position.
Element x y z (fractional)
Ba 0.3940 0.3940 0.2119  4 Li 3.78, 4 Zr 3.90, 4 Ba 4.08
Ba 0.6060 0.6060 0.7881  4 Li 3.78, 4 Zr 3.90, 4 Ba 4.08
Zr 0.7500 0.2500 0.5000  4 Zr 2.88
Zr 0.2500 0.7500 0.5000  4 Zr 2.88
Li 0.0000 0.0000 0.0000  8 Ba 3.78, 4 Li 4.08

Output
The calculation puts the magnetization at 0.00 μB/atom. The calculation puts the energy of formation at 0.4648 eV per atom.

DFT (PBE) results for a relaxed BaLiZr2 crystal.

Cell: 5.4474 4.4665 4.4665 Å, 90.00 90.00 90.00°
Closest atoms and distances in Å follow each position.
Element x y z (fractional)
Ba 0.5000 0.5000 0.0000  4 Li 3.16, 8 Zr 3.52
Li 0.5000 0.0000 0.5000  4 Ba 3.16, 8 Zr 3.52
Zr 0.0000 0.0000 0.0000  4 Zr 3.16, 4 Ba 3.52, 4 Li 3.52
Zr 0.0000 0.5000 0.5000  4 Zr 3.16, 4 Ba 3.52, 4 Li 3.52

Output
The calculation puts the magnetization at 0.00 μB/atom. The calculation puts the energy of formation at 0.6223 eV per atom.

DFT (PBE) results for a relaxed BaLi2Zr crystal.

Cell: 3.5525 3.5525 8.6420 Å, 90.00 90.00 90.00°
Closest atoms and distances in Å follow each position.
Element x y z (fractional)
Ba 0.5000 0.5000 0.7511  4 Ba 3.55, 4 Zr 3.67, 4 Li 3.76
Li 0.0000 0.0000 0.0750  4 Li 2.86, 1 Zr 3.16
Li 0.5000 0.5000 0.2329  4 Li 2.86, 4 Zr 3.09
Zr 0.0000 0.0000 0.4410  5 Li 3.09-3.16

Output
The calculation puts the magnetization at 0.00 μB/atom. The calculation puts the energy of formation at 0.3768 eV per atom.

DFT (PBE) results for a relaxed BaLi2Zr crystal.

Cell: 4.6886 3.2670 7.7998 Å, 65.37 90.00 90.00°
Closest atoms and distances in Å follow each position.
Element x y z (fractional)
Ba 0.5000 0.7500 0.7500  2 Ba 3.27, 2 Zr 3.55, 8 Li 3.61
Li 0.0000 0.9383 0.0611  1 Li 2.68
Li 0.0000 0.5617 0.4389  1 Li 2.68
Zr 0.5000 0.2500 0.2500  8 Li 3.16, 2 Zr 3.27

Output
The calculation puts the magnetization at 0.00 μB/atom. The calculation puts the energy of formation at 0.4253 eV per atom.

DFT (PBE) results for a relaxed Ba2LiZr crystal.

Cell: 3.7071 3.7071 10.8142 Å, 90.00 90.00 89.92°
Closest atoms and distances in Å follow each position.
Element x y z (fractional)
Ba 0.0000 0.0000 0.9908  4 Zr 3.69-3.70, 4 Ba 3.71, 4 Li 3.84
Ba 0.0000 0.0000 0.5092  4 Zr 3.69-3.70, 4 Ba 3.71, 4 Li 3.84
Li 0.5000 0.5000 0.2500  4 Li 3.71, 8 Ba 3.84
Zr 0.5000 0.5000 0.7500  8 Ba 3.69-3.70, 4 Zr 3.71

Output
The calculation puts the magnetization at 0.00 μB/atom. The calculation puts the energy of formation at 0.4520 eV per atom.

DFT (PBE) results for a relaxed Ba2LiZr crystal.

Cell: 6.0077 6.0077 6.0077 Å, 60.00 60.00 60.00°
Closest atoms and distances in Å follow each position.
Element x y z (fractional)
Ba 0.2500 0.2500 0.2500  4 Zr 3.68, 4 Li 3.68
Ba 0.7500 0.7500 0.7500  4 Zr 3.68, 4 Li 3.68
Zr 0.5000 0.5000 0.5000  8 Ba 3.68
Li 0.0000 0.0000 0.0000  8 Ba 3.68

Output
The calculation puts the magnetization at 0.21 μB/atom. The calculation puts the energy of formation at 0.6032 eV per atom.

DFT (PBE) results for a relaxed BaLiZr2 crystal.

Cell: 5.3797 5.3797 5.3797 Å, 60.00 60.00 60.00°
Closest atoms and distances in Å follow each position.
Element x y z (fractional)
Ba 0.5000 0.5000 0.5000  4 Li 3.29, 4 Zr 3.29
Li 0.7500 0.7500 0.7500  4 Ba 3.29, 4 Zr 3.29
Zr 0.0000 0.0000 0.0000  4 Zr 3.29, 4 Li 3.29
Zr 0.2500 0.2500 0.2500  4 Zr 3.29, 4 Ba 3.29

Output
The calculation puts the magnetization at 0.67 μB/atom. The calculation puts the energy of formation at 0.6133 eV per atom.

DFT (PBE) results for a relaxed BaLi2Zr crystal.

Cell: 3.5827 5.6082 5.5293 Å, 90.00 90.00 90.00°
Closest atoms and distances in Å follow each position.
Element x y z (fractional)
Ba 0.0000 0.5000 0.5000  4 Li 3.29, 4 Zr 3.33, 2 Ba 3.58
Li 0.0000 0.0000 0.0000  4 Zr 3.29, 6 Li 3.33-3.58
Li 0.5000 0.5000 0.0000  4 Ba 3.29, 6 Li 3.33-3.58
Zr 0.5000 0.0000 0.5000  4 Li 3.29, 4 Ba 3.33, 2 Zr 3.58

Output
The calculation puts the magnetization at 0.00 μB/atom. The calculation puts the energy of formation at 0.5525 eV per atom.